Entry 1:
DFT (PBE) results for a geometry-optimized Nd2Dy8Ho structure.

- Energy of formation: 20 meV per atom
- Calculated volume: 32.0 Å³ per atom

Structure (CIF):
```
data_Nd2Dy8Ho
_cell_length_a 18.177
_cell_length_b 5.039
_cell_length_c 7.978
_cell_angle_alpha 90.00
_cell_angle_beta 105.28
_cell_angle_gamma 90.00
_space_group_name_H-M_alt 'C 1 2/m 1'
_space_group_IT_number 12
_space_group_name_Hall '-C 2y'
loop_
_atom_site_label
_atom_site_fract_x
_atom_site_fract_y
_atom_site_fract_z
Nd1 0.227 0.000 0.137
Dy1 0.045 0.000 0.228
Dy2 0.090 0.500 0.953
Dy3 0.135 0.000 0.678
Dy4 0.181 0.500 0.408
Ho1 0.000 0.500 0.500
```

=====

Entry 2:
DFT (PBE) results for a geometry-optimized Ni2HgCl structure.

- Calculated volume: 17.0 Å³ per atom
- ΔE_f (raw): 354.1 meV per atom

Structure (CIF):
```
data_Ni2HgCl
_cell_length_a 2.942
_cell_length_b 5.761
_cell_length_c 8.000
_cell_angle_alpha 90.00
_cell_angle_beta 90.00
_cell_angle_gamma 90.00
_space_group_name_H-M_alt 'I m m m'
_space_group_IT_number 71
_space_group_name_Hall '-I 2 2'
loop_
_atom_site_label
_atom_site_fract_x
_atom_site_fract_y
_atom_site_fract_z
Ni1 0.000 0.000 0.225
Hg1 0.000 0.500 0.000
Cl1 0.000 0.500 0.500
```

=====

For the records above, the corresponding spin magnetization values read 0.0 0.9 μB per cell.
For the records above, the corresponding excess energy over the best structure of this formula in the dataset values read 0.000 0.275 eV per atom.